Entry 1:
A plane-wave DFT calculation with GGA-PBE was carried out for an optimized crystal structure of PdI2F.

The mass density is 7.7 g/cm3. The formation energy from raw total energies comes out at -0.11 eV per atom. Its volume is 328.95 Å³ per cell.

The space group is Fm-3m (No. 225) and the conventional cell measures 6.9031, 6.9031 and 6.9031 Å, with angles of 90.00, 90.00 and 90.00 degrees. The asymmetric unit holds Pd at (0.0000, 0.0000, 0.0000), I at (0.2500, 0.2500, 0.2500) and F at (0.0000, 0.0000, 0.5000).

Entry 2:
A plane-wave DFT calculation with GGA-PBE was carried out for an optimized crystal structure of PdIF3.

The mass density is 5.9 g/cm3. The formation energy from raw total energies comes out at -0.67 eV per atom. Its volume is 81.90 Å³ per cell.

The space group is Pm-3m (No. 221) and the conventional cell measures 4.3428, 4.3428 and 4.3428 Å, with angles of 90.00, 90.00 and 90.00 degrees. The asymmetric unit holds Pd at (0.0000, 0.0000, 0.0000), I at (0.5000, 0.5000, 0.5000) and F at (0.0000, 0.0000, 0.5000).

Entry 3:
A plane-wave DFT calculation with GGA-PBE was carried out for an optimized crystal structure of PdIF.

The mass density is 6.5 g/cm3. The formation energy from raw total energies comes out at -0.65 eV per atom. Its volume is 128.86 Å³ per cell.

The space group is P2_1/m (No. 11) and the conventional cell measures 4.2734, 4.6690 and 6.4886 Å, with angles of 90.00, 95.53 and 90.00 degrees. The asymmetric unit holds Pd at (0.1504, 0.2500, 0.4224), I at (0.3874, 0.7500, 0.2832) and F at (0.1891, 0.7500, 0.8190).

Entry 4:
A plane-wave DFT calculation with GGA-PBE was carried out for an optimized crystal structure of PdI2F.

The mass density is 5.2 g/cm3. The formation energy from raw total energies comes out at -0.17 eV per atom. Its volume is 482.12 Å³ per cell.

The space group is I-42d (No. 122) and the conventional cell measures 6.5348, 6.5348 and 11.2899 Å, with angles of 90.00, 90.00 and 90.00 degrees. The asymmetric unit holds Pd at (0.0000, 0.0000, 0.0000), I at (0.2218, 0.2500, 0.1250) and F at (0.0000, 0.0000, 0.5000).

Entry 5:
A plane-wave DFT calculation with GGA-PBE was carried out for an optimized crystal structure of Rb2PdI6F.

The mass density is 4.7 g/cm3. The formation energy from raw total energies comes out at -0.80 eV per atom. Its volume is 745.86 Å³ per cell.

The space group is I4/mmm (No. 139) and the conventional cell measures 8.4658, 8.4658 and 10.4070 Å, with angles of 90.00, 90.00 and 90.00 degrees. The asymmetric unit holds Rb at (0.0000, 0.5000, 0.2500), Pd at (0.0000, 0.0000, 0.0000), I at (0.0000, 0.0000, 0.2711), I at (0.2247, 0.2247, 0.0000) and F at (0.0000, 0.0000, 0.5000).

Entry 6:
A plane-wave DFT calculation with GGA-PBE was carried out for an optimized crystal structure of Rb2PdIF6.

The mass density is 4.0 g/cm3. The formation energy from raw total energies comes out at -1.79 eV per atom. Its volume is 431.08 Å³ per cell.

The space group is I4/mmm (No. 139) and the conventional cell measures 7.0453, 7.0453 and 8.6848 Å, with angles of 90.00, 90.00 and 90.00 degrees. The asymmetric unit holds Rb at (0.0000, 0.5000, 0.2500), Pd at (0.0000, 0.0000, 0.0000), I at (0.0000, 0.0000, 0.5000), F at (0.0000, 0.0000, 0.2512) and F at (0.2001, 0.2001, 0.0000).

Entry 7:
A plane-wave DFT calculation with GGA-PBE was carried out for an optimized crystal structure of SbPdI2F.

The mass density is 5.9 g/cm3. The formation energy from raw total energies comes out at 0.05 eV per atom. Its volume is 140.91 Å³ per cell.

The space group is P4/mmm (No. 123) and the conventional cell measures 5.7960, 5.7960 and 4.1945 Å, with angles of 90.00, 90.00 and 90.00 degrees. The asymmetric unit holds Sb at (0.0000, 0.0000, 0.0000), Pd at (0.5000, 0.5000, 0.0000), I at (0.0000, 0.5000, 0.5000) and F at (0.0000, 0.0000, 0.5000).

Entry 8:
A plane-wave DFT calculation with GGA-PBE was carried out for an optimized crystal structure of SbPdI2F.

The mass density is 5.4 g/cm3. The formation energy from raw total energies comes out at 0.02 eV per atom. Its volume is 153.00 Å³ per cell.

The space group is P4/mmm (No. 123) and the conventional cell measures 5.4409, 5.4409 and 5.1684 Å, with angles of 90.00, 90.00 and 90.00 degrees. The asymmetric unit holds Sb at (0.0000, 0.0000, 0.0000), Pd at (0.0000, 0.0000, 0.5000), I at (0.0000, 0.5000, 0.5000) and F at (0.5000, 0.5000, 0.0000).

Entry 9:
A plane-wave DFT calculation with GGA-PBE was carried out for an optimized crystal structure of Pd2SeIF.

The mass density is 7.4 g/cm3. The formation energy from raw total energies comes out at 0.34 eV per atom. Its volume is 98.63 Å³ per cell.

The space group is P4/mmm (No. 123) and the conventional cell measures 4.6970, 4.6970 and 4.4706 Å, with angles of 90.00, 90.00 and 90.00 degrees. The asymmetric unit holds Pd at (0.0000, 0.5000, 0.0000), Se at (0.0000, 0.0000, 0.5000), I at (0.5000, 0.5000, 0.5000) and F at (0.0000, 0.0000, 0.0000).

Entry 10:
A plane-wave DFT calculation with GGA-PBE was carried out for an optimized crystal structure of Tc2PdIF.

The mass density is 5.5 g/cm3. The formation energy from raw total energies comes out at 1.50 eV per atom. Its volume is 134.86 Å³ per cell.

The space group is P4/mmm (No. 123) and the conventional cell measures 5.2169, 5.2169 and 4.9553 Å, with angles of 90.00, 90.00 and 90.00 degrees. The asymmetric unit holds Tc at (0.0000, 0.5000, 0.0000), Pd at (0.0000, 0.0000, 0.5000), I at (0.0000, 0.0000, 0.0000) and F at (0.5000, 0.5000, 0.5000).

Repeat the first record exactly.
A plane-wave DFT calculation with GGA-PBE was carried out for an optimized crystal structure of PdI2F.

The mass density is 7.7 g/cm3. The formation energy from raw total energies comes out at -0.11 eV per atom. Its volume is 328.95 Å³ per cell.

The space group is Fm-3m (No. 225) and the conventional cell measures 6.9031, 6.9031 and 6.9031 Å, with angles of 90.00, 90.00 and 90.00 degrees. The asymmetric unit holds Pd at (0.0000, 0.0000, 0.0000), I at (0.2500, 0.2500, 0.2500) and F at (0.0000, 0.0000, 0.5000).

- Which of these has the highest formation energy from raw total energies?
  Tc2PdIF

- What is the formation energy from raw total energies in the third record?
  -0.65 eV per atom

- Which of these has the highest formation energy from raw total energies?
  Tc2PdIF